The following is a DFT calculation (GGA-PBE) of a relaxed structure of MgTaAl4.

Computed properties:
Crystal system   cubic
Fermi-level density of states   0.69 states/eV/atom
Formation energy from the elements   -0.06 eV/atom

Unit cell a=5.222 b=5.222 c=5.222 alpha=60.00 beta=60.00 gamma=60.00
Fractional positions:
1 Mg 0.750 0.750 0.750
2 Ta 0.000 0.000 0.000
3 Al 0.876 0.375 0.375
4 Al 0.375 0.375 0.876
5 Al 0.375 0.876 0.375
6 Al 0.375 0.375 0.375


The following is a DFT calculation (GGA-PBE) of a relaxed structure of LiTb2PrTe4.

Computed properties:
Crystal system   monoclinic
Formation energy from raw total energies   -1.343 eV per atom
Fermi-level density of states   0.39 states/eV/atom

Unit cell a=4.379 b=7.647 c=7.651 alpha=109.15 beta=90.00 gamma=90.00
Fractional positions:
1 Li 0.500 0.500 0.000
2 Tb 0.500 0.000 0.500
3 Tb 0.000 0.500 0.500
4 Pr 0.000 0.000 0.000
5 Te 0.500 0.262 0.254
6 Te 0.500 0.738 0.746
7 Te 0.000 0.259 0.751
8 Te 0.000 0.741 0.249